Here is an optimized crystal structure of Fe2CuAsO6 from the Alexandria database. Energies are from PBE+U.

Its theoretical density is 5582 kg/m3. As for the final energy: -5.989 eV/atom. The crystal system is triclinic. The value obtained for the total magnetic moment is 6.1 μB per formula unit.

The structure belongs to space group P1 (No. 1); the cell edges are 5.0183, 5.0241 and 5.5211 Å and the angles 116.96°, 90.12° and 119.75°. The inequivalent atoms are Fe at (0.0000, 0.0000, 0.0000), Fe at (0.4808, 0.9657, 0.4521), Cu at (0.2321, 0.4740, 0.7065), As at (0.6806, 0.3672, 0.0492), O at (0.0561, 0.4799, 0.2422), O at (0.2840, 0.1561, 0.7857), O at (0.4155, 0.1790, 0.2399), O at (0.6277, 0.9168, 0.7846), O at (0.7604, 0.8217, 0.2421) and O at (0.8585, 0.4942, 0.7825).